DFT (GGA-PBE) results for a geometry-optimized Lu2NbCu structure.

density: 9.5 Mg/m³
energy of formation from the pure elements: 0.5044 eV per atom
M_tot: 0.962 μB/cell
excess energy over the best structure of this formula in the dataset: 519 meV per atom

a = 3.1301 Å, b = 3.1301 Å, c = 10.5343 Å
α = 81.46°, β = 81.46°, γ = 60.00°
Closest atoms and distances in Å follow each position.
Fractional positions:
Lu (0.0943, 0.0943, 0.7170)  3 Cu 2.89, 1 Nb 2.94, 6 Lu 3.13
Lu (0.9057, 0.9057, 0.2830)  3 Cu 2.89, 1 Nb 2.94, 6 Lu 3.13
Nb (0.0000, 0.0000, 0.0000)  2 Lu 2.94, 6 Nb 3.13
Cu (0.5000, 0.5000, 0.5000)  6 Lu 2.89, 6 Cu 3.13